VASP calculation (PBE) on Tb5PrZn4 after structural relaxation.

The structure in extended XYZ format:
```
10
Lattice="3.591 0.000 0.000 0.000 3.591 0.000 0.000 0.000 19.539" Properties=species:S:1:pos:R:3 pbc="T T T"
Zn 0.000 0.000 15.121
Pr 0.000 0.000 0.000
Tb 1.796 1.796 16.890
Zn 0.000 0.000 7.969
Zn 0.000 0.000 11.570
Tb 1.796 1.796 9.770
Tb 1.796 1.796 2.649
Zn 0.000 0.000 4.418
Tb 1.796 1.796 6.217
Tb 1.796 1.796 13.322
```

Values from the calculation:
magnetization: 0.00 μB/cell
formation enthalpy at 0 K: -2.690 eV/f.u.
SG: No. 123

---

VASP calculation (PBE) on Tb2Pr2Zn3 after structural relaxation.

The structure in extended XYZ format:
```
14
Lattice="7.409 0.000 -2.620 -3.705 6.417 -2.620 0.000 0.000 7.859" Properties=species:S:1:pos:R:3 pbc="T T T"
Pr 2.419 2.228 1.710
Zn -1.337 5.524 -2.039
Tb 0.000 0.000 6.760
Tb -1.334 4.105 2.986
Pr 4.271 0.981 -0.909
Zn 3.189 4.101 -0.581
Tb 0.518 5.520 0.366
Zn 5.662 1.604 2.039
Tb 0.816 3.208 -2.253
Zn 1.748 4.813 3.201
Pr 0.000 0.000 2.728
Zn 2.263 0.712 4.658
Zn -0.411 2.497 0.581
Pr 4.425 3.208 -3.529
```

Values from the calculation:
magnetization: 0.00 μB/cell
formation enthalpy at 0 K: -0.939 eV/f.u.
SG: No. 199

---

VASP calculation (PBE) on Tb4Pr5Zn after structural relaxation.

The structure in extended XYZ format:
```
10
Lattice="3.675 0.000 0.000 0.000 3.675 0.000 0.000 0.000 24.064" Properties=species:S:1:pos:R:3 pbc="T T T"
Tb 0.000 0.000 19.619
Pr 1.837 1.837 12.032
Pr 1.837 1.837 17.111
Zn 0.000 0.000 0.000
Pr 1.837 1.837 6.953
Tb 0.000 0.000 4.445
Pr 1.837 1.837 1.858
Tb 0.000 0.000 9.495
Pr 1.837 1.837 22.206
Tb 0.000 0.000 14.569
```

Values from the calculation:
magnetization: 0.00 μB/cell
formation enthalpy at 0 K: -0.443 eV/f.u.
SG: No. 123

---

VASP calculation (PBE) on Tb4PrZn4 after structural relaxation.

The structure in extended XYZ format:
```
18
Lattice="5.156 0.000 0.000 0.000 9.532 0.000 0.000 0.000 9.532" Properties=species:S:1:pos:R:3 pbc="T T T"
Tb 2.578 1.446 3.750
Zn 5.156 5.519 3.023
Zn 2.578 0.752 7.789
Zn 2.578 7.789 8.780
Pr 0.000 0.000 0.000
Zn 0.000 3.023 4.014
Zn 5.156 4.014 6.509
Tb 2.578 8.086 5.782
Tb 5.156 6.212 8.516
Zn 0.000 6.509 5.519
Tb 5.156 3.320 1.016
Pr 2.578 4.766 4.766
Tb 0.000 1.016 6.212
Tb 2.578 3.750 8.086
Zn 2.578 1.743 0.752
Tb 2.578 5.782 1.446
Zn 2.578 8.780 1.743
Tb 0.000 8.516 3.320
```

Values from the calculation:
magnetization: 0.00 μB/cell
formation enthalpy at 0 K: -1.242 eV/f.u.
SG: No. 87

---

VASP calculation (PBE) on Tb4Pr9Zn11 after structural relaxation.

The structure in extended XYZ format:
```
24
Lattice="3.565 0.000 0.000 0.000 12.560 -5.071 0.000 0.273 13.542" Properties=species:S:1:pos:R:3 pbc="T T T"
Tb 1.782 7.253 7.292
Pr 1.782 6.416 4.235
Zn 0.000 9.543 6.300
Pr 1.782 2.616 -0.542
Tb 1.782 9.555 3.804
Zn 0.000 4.741 6.772
Zn 0.000 0.882 5.337
Zn 0.000 0.000 0.000
Zn 0.000 2.322 10.437
Zn 0.000 5.255 -1.286
Pr 1.782 10.886 0.696
Zn 0.000 11.950 3.134
Pr 1.782 7.915 -1.266
Zn 0.000 3.289 2.171
Pr 1.782 10.216 9.013
Pr 1.782 1.946 7.775
Tb 1.782 3.277 4.667
Tb 1.782 5.580 1.179
Pr 1.782 12.302 5.852
Pr 1.782 0.530 2.619
Zn 0.000 7.578 9.757
Zn 0.000 10.510 -1.966
Pr 1.782 4.918 9.737
Zn 0.000 8.091 1.699
```

Values from the calculation:
magnetization: 0.00 μB/cell
formation enthalpy at 0 K: -5.490 eV/f.u.
SG: No. 65

---

VASP calculation (PBE) on Tb2PrZn after structural relaxation.

The structure in extended XYZ format:
```
4
Lattice="-1.704 0.885 3.095 -2.191 -2.413 1.627 6.766 -4.137 7.050" Properties=species:S:1:pos:R:3 pbc="T T T"
Tb 5.078 -3.378 5.904
Zn -2.587 -1.023 3.154
Tb 0.393 -1.270 2.723
Pr 1.424 -2.827 5.878
```

Values from the calculation:
magnetization: 0.00 μB/cell
formation enthalpy at 0 K: -0.203 eV/f.u.
SG: No. 160

---

VASP calculation (PBE) on Tb2PrZn3 after structural relaxation.

The structure in extended XYZ format:
```
6
Lattice="-2.273 -2.121 -1.855 2.536 -0.501 -2.535 3.704 -8.719 5.429" Properties=species:S:1:pos:R:3 pbc="T T T"
Zn 1.185 -2.790 1.737
Zn 2.519 -5.929 3.692
Zn 0.000 0.000 0.000
Tb 3.234 -8.614 2.352
Pr 1.984 -5.670 0.520
Tb 0.733 -2.727 -1.313
```

Values from the calculation:
magnetization: 0.00 μB/cell
formation enthalpy at 0 K: -1.926 eV/f.u.
SG: No. 123

---

VASP calculation (PBE) on TbPrZn after structural relaxation.

The structure in extended XYZ format:
```
3
Lattice="-3.571 0.855 -3.472 -1.293 -1.558 4.629 2.542 3.871 2.023" Properties=species:S:1:pos:R:3 pbc="T T T"
Tb -2.299 2.840 3.076
Zn -0.180 2.615 0.834
Pr -2.924 1.684 -0.250
```

Values from the calculation:
magnetization: 0.00 μB/cell
formation enthalpy at 0 K: 0.093 eV/f.u.
SG: No. 216

---

VASP calculation (PBE) on TbPr4Zn after structural relaxation.

The structure in extended XYZ format:
```
6
Lattice="-1.872 -3.102 -0.729 2.227 -1.878 2.275 -8.690 2.720 10.749" Properties=species:S:1:pos:R:3 pbc="T T T"
Zn -4.168 -1.130 6.148
Pr -5.489 1.718 6.790
Tb 0.000 0.000 0.000
Pr -3.201 1.002 3.960
Pr -1.384 -2.001 2.705
Pr -6.951 -0.259 9.591
```

Values from the calculation:
magnetization: 0.00 μB/cell
formation enthalpy at 0 K: -0.546 eV/f.u.
SG: No. 123

---

VASP calculation (PBE) on TbPr2Zn3 after structural relaxation.

The structure in extended XYZ format:
```
6
Lattice="5.182 0.000 0.000 -2.591 4.488 0.000 0.000 0.000 6.370" Properties=species:S:1:pos:R:3 pbc="T T T"
Zn 0.000 2.992 1.041
Tb 0.000 0.000 0.000
Zn 0.000 0.000 3.185
Pr 0.000 2.992 4.294
Pr 2.591 1.496 2.076
Zn 2.591 1.496 5.329
```

Values from the calculation:
magnetization: 0.00 μB/cell
formation enthalpy at 0 K: -1.861 eV/f.u.
SG: No. 164

---

VASP calculation (PBE) on Tb3PrZn2 after structural relaxation.

The structure in extended XYZ format:
```
6
Lattice="3.594 0.000 0.000 0.000 3.594 0.000 0.000 0.000 12.391" Properties=species:S:1:pos:R:3 pbc="T T T"
Zn 1.797 1.797 10.624
Zn 1.797 1.797 1.766
Tb 0.000 0.000 8.848
Pr 1.797 1.797 6.195
Tb 0.000 0.000 0.000
Tb 0.000 0.000 3.543
```

Values from the calculation:
magnetization: 0.00 μB/cell
formation enthalpy at 0 K: -1.367 eV/f.u.
SG: No. 123

---

VASP calculation (PBE) on Tb4PrZn5 after structural relaxation.

The structure in extended XYZ format:
```
10
Lattice="3.605 0.000 0.000 0.000 3.605 0.000 0.000 0.000 18.066" Properties=species:S:1:pos:R:3 pbc="T T T"
Zn 1.803 1.803 1.972
Zn 1.803 1.803 16.094
Zn 1.803 1.803 12.600
Zn 1.803 1.803 5.466
Tb 0.000 0.000 7.260
Tb 0.000 0.000 10.806
Pr 0.000 0.000 0.000
Tb 0.000 0.000 3.701
Zn 1.803 1.803 9.033
Tb 0.000 0.000 14.364
```

Values from the calculation:
magnetization: 0.00 μB/cell
formation enthalpy at 0 K: -3.273 eV/f.u.
SG: No. 123

---

The lowest formation enthalpy at 0 K belongs to which entry? Tb4Pr9Zn11

---

formation enthalpy at 0 K of number 6 (Tb2PrZn)? -0.203 eV/f.u.

---

The highest formation enthalpy at 0 K belongs to which entry? TbPrZn